[1]
# ErTmP2Rh5

Crystalline ErTmP2Rh5 at its relaxed geometry (PBE, Alexandria).

Energy relative to the elements   -735 meV per atom
Magnetic moment   0.000 μB/atom

Cell and atoms, written as POSCAR:
```
ErTmP2Rh5
1.0
-1.9751 -1.5772 -3.0939
2.9680 -2.6145 -0.5619
-4.8624 -6.9481 6.6461
Rh P Er Tm
5 2 1 1
Cartesian
-1.9347 -5.5699 1.4952 Rh
-4.9116 -6.3960 3.8167 Rh
-1.9258 -2.1294 -0.2644 Rh
-2.4401 -6.9146 5.0827 Rh
0.5457 -2.6480 1.0015 Rh
-0.9152 -4.1131 0.1017 P
-2.9542 -7.0268 2.8887 P
-2.4312 -3.4741 3.3231 Er
0.0000 0.0000 0.0000 Tm
```



[2]
# ErUP2Rh5

Crystalline ErUP2Rh5 at its relaxed geometry (PBE, Alexandria).

Energy relative to the elements   -534 meV per atom
Magnetic moment   0.000 μB/atom

Cell and atoms, written as POSCAR:
```
ErUP2Rh5
1.0
-3.6799 0.5641 1.3469
-1.3495 -2.7086 -2.5527
1.5276 -7.7557 7.4218
U Rh P Er
1 5 2 1
Cartesian
0.0000 0.0000 0.0000 U
-0.4093 -2.7020 0.0133 Rh
-1.5745 -1.0656 1.9631 Rh
0.5874 -7.7623 4.8558 Rh
0.7638 -3.8778 3.7109 Rh
-0.5778 -6.1260 6.8056 Rh
1.0804 -5.4856 5.2494 P
0.4471 -2.2701 2.1724 P
-1.7509 -4.9501 3.1080 Er
```



[3]
# Er2UP3Rh12

Crystalline Er2UP3Rh12 at its relaxed geometry (PBE, Alexandria).

Energy relative to the elements   -435 meV per atom
Magnetic moment   0.000 μB/atom

Cell and atoms, written as POSCAR:
```
Er2UP3Rh12
1.0
-1.2036 -5.3053 3.9098
0.2484 -4.7035 -4.7641
6.3588 -1.8910 0.9333
P Rh Er U
3 12 2 1
Cartesian
3.1794 -0.9455 0.4666 P
-0.6018 -2.6526 1.9549 P
0.1242 -2.3518 -2.3821 P
1.0790 -4.4130 -2.3207 Rh
1.3143 -7.2535 2.1711 Rh
0.3674 -4.7079 1.9301 Rh
4.3246 -7.4868 2.3997 Rh
3.2937 -4.9760 2.6605 Rh
5.0362 -7.1919 -1.8511 Rh
4.0893 -4.6463 -2.0921 Rh
5.4579 -5.3827 0.5402 Rh
2.1099 -6.9238 -2.5815 Rh
4.0735 -3.0347 0.4714 Rh
1.3301 -8.8651 -0.3924 Rh
-0.0543 -6.5170 -0.4612 Rh
3.3587 -7.3964 0.0491 Er
2.0449 -4.5034 0.0299 Er
0.0000 0.0000 0.0000 U
```



[4]
# YEr2P3Rh12

Crystalline YEr2P3Rh12 at its relaxed geometry (PBE, Alexandria).

Energy relative to the elements   -426 meV per atom
Magnetic moment   0.000 μB/atom

Cell and atoms, written as POSCAR:
```
YEr2P3Rh12
1.0
6.4679 -1.4032 -0.9953
1.9740 6.3171 -0.9953
1.9740 1.1491 6.2910
Rh P Er Y
12 3 2 1
Cartesian
7.5890 4.4174 0.5003 Rh
2.8270 1.6456 3.8001 Rh
4.9878 0.4184 0.2968 Rh
7.5890 1.9325 4.0037 Rh
5.4283 5.6446 4.0037 Rh
5.4967 0.4318 3.2389 Rh
7.3260 1.4966 1.0615 Rh
5.4967 3.1995 -0.6632 Rh
3.0900 4.5664 3.2389 Rh
2.8270 4.1305 0.2968 Rh
4.9194 5.6312 1.0615 Rh
4.9194 2.8635 4.9636 Rh
0.9870 3.1586 -0.4976 P
3.2340 -0.7016 -0.4976 P
0.9870 0.5745 3.1455 P
3.8817 2.2594 1.6026 Er
6.5344 3.8035 2.6978 Er
0.0000 0.0000 0.0000 Y
```



Copy entry 2 word for word.
# ErUP2Rh5

Crystalline ErUP2Rh5 at its relaxed geometry (PBE, Alexandria).

Energy relative to the elements   -534 meV per atom
Magnetic moment   0.000 μB/atom

Cell and atoms, written as POSCAR:
```
ErUP2Rh5
1.0
-3.6799 0.5641 1.3469
-1.3495 -2.7086 -2.5527
1.5276 -7.7557 7.4218
U Rh P Er
1 5 2 1
Cartesian
0.0000 0.0000 0.0000 U
-0.4093 -2.7020 0.0133 Rh
-1.5745 -1.0656 1.9631 Rh
0.5874 -7.7623 4.8558 Rh
0.7638 -3.8778 3.7109 Rh
-0.5778 -6.1260 6.8056 Rh
1.0804 -5.4856 5.2494 P
0.4471 -2.2701 2.1724 P
-1.7509 -4.9501 3.1080 Er
```